P) Computed, not measured: a relaxed Li2SnAs crystal at the GGA-PBE level of DFT.

Properties
The calculation puts the density at 4.6 g/cm³. As for the crystal system: cubic.

Cell: 6.6774 6.6774 6.6774 Å, 90.00 90.00 90.00°
Space group Fm-3m (No. 225)
Symmetry-distinct sites (fractional):
Li (0.2500, 0.2500, 0.2500) (multiplicity 8)
Sn (0.0000, 0.0000, 0.0000) (multiplicity 4)
As (0.0000, 0.0000, 0.5000) (multiplicity 4)



Q) Computed, not measured: a relaxed Li2SnAs crystal at the GGA-PBE level of DFT.

Properties
The calculation puts the density at 4.3 g/cm³. As for the crystal system: orthorhombic.

Cell: 6.3664 7.9778 6.2434 Å, 90.00 90.00 90.00°
Space group Pnma (No. 62)
Symmetry-distinct sites (fractional):
Li (0.1862, 0.0408, 0.1863) (multiplicity 8)
Sn (0.0074, 0.7500, 0.4484) (multiplicity 4)
As (0.0775, 0.7500, 0.0075) (multiplicity 4)



Q) comes first in stability; the runner-up is 89 meV/atom higher.



P) Computed, not measured: a relaxed LiSnAs crystal at the GGA-PBE level of DFT.

Properties
The calculation puts the density at 5.2 g/cm³. As for the crystal system: cubic.

Cell: 6.3331 6.3331 6.3331 Å, 90.00 90.00 90.00°
Space group F-43m (No. 216)
Symmetry-distinct sites (fractional):
Li (0.0000, 0.0000, 0.0000) (multiplicity 4)
Sn (0.2500, 0.2500, 0.2500) (multiplicity 4)
As (0.2500, 0.2500, 0.7500) (multiplicity 4)



Q) Computed, not measured: a relaxed LiSnAs crystal at the GGA-PBE level of DFT.

Properties
The calculation puts the density at 5.1 g/cm³. As for the crystal system: tetragonal.

Cell: 3.7778 3.7778 9.1868 Å, 90.00 90.00 90.00°
Space group I4mm (No. 107)
Symmetry-distinct sites (fractional):
Li (0.0000, 0.0000, 0.0000) (multiplicity 2)
Sn (0.0000, 0.0000, 0.6852) (multiplicity 2)
As (0.0000, 0.0000, 0.3143) (multiplicity 2)



P) comes first in stability; the runner-up is 23 meV/atom higher.



P) Computed, not measured: a relaxed Sr2LiAs2 crystal at the GGA-PBE level of DFT.

Properties
The calculation puts the density at 4.0 g/cm³. As for the crystal system: tetragonal.

Cell: 7.9568 7.9568 4.4033 Å, 90.00 90.00 90.00°
Space group P4/mbm (No. 127)
Symmetry-distinct sites (fractional):
Sr (0.1556, 0.3444, 0.0000) (multiplicity 4)
Li (0.0000, 0.0000, 0.5000) (multiplicity 2)
As (0.1473, 0.6473, 0.5000) (multiplicity 4)



Q) Computed, not measured: a relaxed Sr2LiAs2 crystal at the GGA-PBE level of DFT.

Properties
The calculation puts the density at 3.8 g/cm³. As for the crystal system: tetragonal.

Cell: 8.9593 8.9593 3.5943 Å, 90.00 90.00 90.00°
Space group P4/mbm (No. 127)
Symmetry-distinct sites (fractional):
Sr (0.1352, 0.3648, 0.0000) (multiplicity 4)
Li (0.0000, 0.0000, 0.0000) (multiplicity 2)
As (0.1666, 0.6666, 0.5000) (multiplicity 4)



P) comes first in stability; the runner-up is 151 meV/atom higher.



P) Computed, not measured: a relaxed LiTc2As2 crystal at the GGA-PBE level of DFT.

Properties
The calculation puts the density at 7.7 g/cm³. As for the crystal system: tetragonal.

Cell: 7.0815 7.0815 3.0317 Å, 90.00 90.00 90.00°
Space group P4/mbm (No. 127)
Symmetry-distinct sites (fractional):
Li (0.0000, 0.0000, 0.0000) (multiplicity 2)
Tc (0.1446, 0.3554, 0.5000) (multiplicity 4)
As (0.1509, 0.6509, 0.0000) (multiplicity 4)



Q) Computed, not measured: a relaxed LiTc2As2 crystal at the GGA-PBE level of DFT.

Properties
The calculation puts the density at 6.6 g/cm³. As for the crystal system: tetragonal.

Cell: 4.1713 4.1713 10.1889 Å, 90.00 90.00 90.00°
Space group I4/mmm (No. 139)
Symmetry-distinct sites (fractional):
Li (0.0000, 0.0000, 0.0000) (multiplicity 2)
Tc (0.0000, 0.5000, 0.2500) (multiplicity 4)
As (0.0000, 0.0000, 0.3764) (multiplicity 4)



Q) comes first in stability; the runner-up is 38 meV/atom higher.



P) Computed, not measured: a relaxed LiTc3As crystal at the GGA-PBE level of DFT.

Properties
The calculation puts the density at 6.5 g/cm³. As for the crystal system: cubic.

Cell: 4.5719 4.5719 4.5719 Å, 90.00 90.00 90.00°
Space group Pm-3m (No. 221)
Symmetry-distinct sites (fractional):
Li (0.0000, 0.0000, 0.0000) (multiplicity 1)
Tc (0.0000, 0.5000, 0.5000) (multiplicity 3)
As (0.5000, 0.5000, 0.5000) (multiplicity 1)



Q) Computed, not measured: a relaxed LiTc3As crystal at the GGA-PBE level of DFT.

Properties
The calculation puts the density at 8.6 g/cm³. As for the crystal system: cubic.

Cell: 4.1772 4.1772 4.1772 Å, 90.00 90.00 90.00°
Space group Pm-3m (No. 221)
Symmetry-distinct sites (fractional):
Li (0.0000, 0.0000, 0.0000) (multiplicity 1)
Tc (0.0000, 0.0000, 0.5000) (multiplicity 3)
As (0.5000, 0.5000, 0.5000) (multiplicity 1)



P) comes first in stability; the runner-up is 121 meV/atom higher.



P) Computed, not measured: a relaxed LiTe3As crystal at the GGA-PBE level of DFT.

Properties
The calculation puts the density at 5.1 g/cm³. As for the crystal system: monoclinic.

Cell: 7.4340 4.3917 9.3412 Å, 90.00 91.85 90.00°
Space group P2_1/m (No. 11)
Symmetry-distinct sites (fractional):
Li (0.2343, 0.2500, 0.2441) (multiplicity 2)
Te (0.0935, 0.7500, 0.6228) (multiplicity 2)
Te (0.2350, 0.7500, 0.0448) (multiplicity 2)
Te (0.4684, 0.7500, 0.2884) (multiplicity 2)
As (0.1911, 0.2500, 0.8036) (multiplicity 2)



Q) Computed, not measured: a relaxed LiTe3As crystal at the GGA-PBE level of DFT.

Properties
The calculation puts the density at 6.1 g/cm³. As for the crystal system: cubic.

Cell: 5.0247 5.0247 5.0247 Å, 90.00 90.00 90.00°
Space group Pm-3m (No. 221)
Symmetry-distinct sites (fractional):
Li (0.0000, 0.0000, 0.0000) (multiplicity 1)
Te (0.0000, 0.0000, 0.5000) (multiplicity 3)
As (0.5000, 0.5000, 0.5000) (multiplicity 1)



P) comes first in stability; the runner-up is 613 meV/atom higher.